(1)
Compound: Pm2Al3GeAu4
Source: Alexandria via LeMat-Bulk
Functional: PBE
Structure: optimized geometry

Properties
The formation energy is -676 meV/atom.

a b c (Å): 4.430 4.430 10.466
angles (deg): 90.00 90.00 90.00
Space group P-4m2 (No. 115)
Symmetry-distinct sites (fractional):
Pm 0.000 0.500 0.250 (multiplicity 2)
Al 0.000 0.000 0.000 (multiplicity 1)
Al 0.000 0.500 0.628 (multiplicity 2)
Ge 0.500 0.500 0.000 (multiplicity 1)
Au 0.000 0.000 0.500 (multiplicity 1)
Au 0.000 0.500 0.867 (multiplicity 2)
Au 0.500 0.500 0.500 (multiplicity 1)

---

(2)
Compound: Pr2AlGeAu6
Source: Alexandria via LeMat-Bulk
Functional: PBE
Structure: optimized geometry

Properties
The formation energy is -504 meV/atom.

a b c (Å): 5.497 6.868 6.968
angles (deg): 80.47 67.53 66.73
Space group P-1 (No. 2)
Symmetry-distinct sites (fractional):
Pr 0.014 0.250 0.221 (multiplicity 2)
Al 0.500 0.000 0.500 (multiplicity 1)
Ge 0.500 0.500 0.000 (multiplicity 1)
Au 0.010 0.205 0.772 (multiplicity 2)
Au 0.350 0.403 0.407 (multiplicity 2)
Au 0.490 0.801 0.218 (multiplicity 2)